Record 1
The following is a PBE calculation of a relaxed Ba5Sr2MgHg2 crystal, from the Alexandria database.

## Properties
* V: 47.89 Å³/atom

abc: 4.458 14.658 14.658
angles: 90.00 90.00 90.00
Sites, in units of the cell vectors:
Ba 0.500 0.954 0.203
Ba 0.500 0.297 0.546
Ba 0.500 0.703 0.454
Mg 0.000 0.500 0.500
Ba 0.500 0.797 0.954
Sr 0.000 0.194 0.306
Ba 0.500 0.203 0.046
Ba 0.500 0.454 0.297
Ba 0.500 0.046 0.797
Hg 0.000 0.366 0.134
Sr 0.000 0.694 0.194
Mg 0.000 0.000 0.000
Ba 0.500 0.500 0.000
Ba 0.500 0.546 0.703
Ba 0.500 0.000 0.500
Hg 0.000 0.866 0.366
Sr 0.000 0.806 0.694
Hg 0.000 0.634 0.866
Hg 0.000 0.134 0.634
Sr 0.000 0.306 0.806

---

Record 2
The following is a PBE calculation of a relaxed BaSr2MgHg crystal, from the Alexandria database.

## Properties
* energy above the most stable polymorph in this dataset: 105 meV/atom
* V: 51.23 Å³/atom

abc: 6.308 6.308 6.436
angles: 90.00 90.00 90.00
Sites, in units of the cell vectors:
Sr 0.000 0.500 0.000
Mg 0.500 0.500 0.500
Hg 0.000 0.000 0.000
Ba 0.000 0.000 0.500
Sr 0.500 0.000 0.000

---

Record 3
The following is a PBE calculation of a relaxed Ba2MgTl2Hg4 crystal, from the Alexandria database.

## Properties
* V: 31.20 Å³/atom

abc: 7.354 7.354 7.354
angles: 89.83 120.10 120.10
Sites, in units of the cell vectors:
Tl 0.000 0.291 0.291
Hg 0.452 0.726 0.726
Ba 0.500 0.750 0.250
Ba 0.500 0.250 0.750
Hg 0.548 0.274 0.274
Hg 0.000 0.274 0.726
Hg 0.000 0.726 0.274
Tl 0.000 0.709 0.709
Mg 0.000 0.000 0.000

---

Record 4
The following is a PBE calculation of a relaxed BaMgTlHg2 crystal, from the Alexandria database.

## Properties
* energy above the most stable polymorph in this dataset: 137 meV/atom
* V: 33.01 Å³/atom

abc: 5.458 5.458 5.539
angles: 90.00 90.00 90.00
Sites, in units of the cell vectors:
Tl 0.000 0.000 0.500
Ba 0.500 0.500 0.500
Hg 0.000 0.500 0.000
Mg 0.000 0.000 0.000
Hg 0.500 0.000 0.000

---

Record 5
The following is a PBE calculation of a relaxed BaMgTlHg2 crystal, from the Alexandria database.

## Properties
* energy above the most stable polymorph in this dataset: 0 meV/atom
* V: 30.26 Å³/atom

abc: 4.762 4.762 7.473
angles: 108.58 108.58 90.00
Sites, in units of the cell vectors:
Tl 0.250 0.750 0.500
Hg 0.389 0.389 0.777
Ba 0.000 0.000 0.000
Mg 0.750 0.250 0.500
Hg 0.611 0.611 0.223

---

Record 6
The following is a PBE calculation of a relaxed BaMgTl2Hg crystal, from the Alexandria database.

## Properties
* energy above the most stable polymorph in this dataset: 0 meV/atom
* V: 31.23 Å³/atom

abc: 4.923 4.923 7.324
angles: 109.64 109.64 90.00
Sites, in units of the cell vectors:
Hg 0.750 0.250 0.500
Tl 0.383 0.383 0.766
Tl 0.617 0.617 0.234
Ba 0.000 0.000 0.000
Mg 0.250 0.750 0.500

---

Record 7
The following is a PBE calculation of a relaxed BaMgTlHg crystal, from the Alexandria database.

## Properties
* V: 30.59 Å³/atom

abc: 5.572 5.572 5.572
angles: 60.00 60.00 60.00
Sites, in units of the cell vectors:
Ba 0.250 0.250 0.250
Tl 0.000 0.000 0.000
Mg 0.750 0.750 0.750
Hg 0.500 0.500 0.500

---

Record 8
The following is a PBE calculation of a relaxed BaMgTl2Hg crystal, from the Alexandria database.

## Properties
* energy above the most stable polymorph in this dataset: 123 meV/atom
* V: 33.84 Å³/atom

abc: 5.573 5.573 5.447
angles: 90.00 90.00 90.00
Sites, in units of the cell vectors:
Mg 0.000 0.000 0.000
Tl 0.000 0.500 0.000
Tl 0.500 0.000 0.000
Hg 0.000 0.000 0.500
Ba 0.500 0.500 0.500

---

Record 9
The following is a PBE calculation of a relaxed BaTmMgHg crystal, from the Alexandria database.

## Properties
* V: 31.39 Å³/atom

abc: 5.621 5.621 5.621
angles: 60.00 60.00 60.00
Sites, in units of the cell vectors:
Ba 0.750 0.750 0.750
Mg 0.000 0.000 0.000
Tm 0.250 0.250 0.250
Hg 0.500 0.500 0.500

---

Record 10
The following is a PBE calculation of a relaxed BaY2MgHg crystal, from the Alexandria database.

## Properties
* V: 41.57 Å³/atom

abc: 5.927 5.917 5.927
angles: 90.00 90.00 90.00
Sites, in units of the cell vectors:
Y 0.000 0.000 0.500
Mg 0.500 0.500 0.500
Hg 0.000 0.500 0.000
Y 0.500 0.000 0.000
Ba 0.000 0.000 0.000

---

Record 11
The following is a PBE calculation of a relaxed Ba3Mg2Zn2Hg4 crystal, from the Alexandria database.

## Properties
* V: 31.79 Å³/atom

abc: 4.914 4.914 16.723
angles: 90.00 90.00 120.00
Sites, in units of the cell vectors:
Ba 0.000 0.000 0.733
Ba 0.000 0.000 0.267
Hg 0.333 0.667 0.392
Zn 0.667 0.333 0.865
Mg 0.333 0.667 0.563
Hg 0.667 0.333 0.608
Mg 0.667 0.333 0.437
Hg 0.333 0.667 0.867
Zn 0.333 0.667 0.135
Hg 0.667 0.333 0.133
Ba 0.000 0.000 0.000

---

Record 12
The following is a PBE calculation of a relaxed Ba2MgZn3Hg4 crystal, from the Alexandria database.

## Properties
* V: 26.55 Å³/atom

abc: 4.771 4.771 11.663
angles: 90.00 90.00 90.00
Sites, in units of the cell vectors:
Zn 0.000 0.000 0.500
Ba 0.000 0.500 0.758
Mg 0.500 0.500 0.500
Zn 0.000 0.500 0.127
Zn 0.500 0.000 0.873
Hg 0.500 0.000 0.636
Hg 0.000 0.000 0.000
Hg 0.000 0.500 0.364
Ba 0.500 0.000 0.242
Hg 0.500 0.500 0.000

---

For reference, ΔH_f (0 K) by record: -213.0, -9.9, -317.2, -199.4, -336.6, -262.6, -305.8, -139.1, -114.4, 1028.6, -303.8, -293.8 meV/atom.